Compound: PuZnGaIr
Source: Alexandria via LeMat-Bulk
Functional: PBE
Structure: relaxed

Calculated density (g cm⁻³): 12.0
Formation enthalpy at 0 K (meV per atom): -333

Cell and atoms, written as CIF:
```
data_PuZnGaIr
_chemical_formula_sum 'Pu3 Zn3 Ga3 Ir3'
_space_group_name_H-M_alt 'R 3 m'
_space_group_IT_number 160
_space_group_name_Hall 'R 3 -2"'
_cell_length_a 4.3959
_cell_length_b 4.3959
_cell_length_c 14.1335
_cell_angle_alpha 90.00
_cell_angle_beta 90.00
_cell_angle_gamma 120.00
loop_
_atom_site_label
_atom_site_type_symbol
_atom_site_fract_x
_atom_site_fract_y
_atom_site_fract_z
Pu1 Pu 0.0000 0.0000 0.0000
Zn1 Zn 0.0000 0.0000 0.7899
Ga1 Ga 0.0000 0.0000 0.5383
Ir1 Ir 0.0000 0.0000 0.2008
```



Compound: RbGa3Ir
Source: Alexandria via LeMat-Bulk
Functional: PBE
Structure: relaxed

Calculated density (g cm⁻³): 6.7
Formation enthalpy at 0 K (meV per atom): -247

Cell and atoms, written as CIF:
```
data_RbGa3Ir
_chemical_formula_sum 'Rb4 Ga12 Ir4'
_space_group_name_H-M_alt 'C 1 m 1'
_space_group_IT_number 8
_cell_length_a 12.598
_cell_length_b 6.547
_cell_length_c 7.008
_cell_angle_alpha 90.00
_cell_angle_beta 123.19
_cell_angle_gamma 90.00
loop_
_space_group_symop_operation_xyz
'x,y,z'
'x,-y,z'
'x+1/2,y+1/2,z'
'x+1/2,-y+1/2,z'
loop_
_atom_site_label
_atom_site_type_symbol
_atom_site_fract_x
_atom_site_fract_y
_atom_site_fract_z
Rb1 Rb 0.000 0.000 0.000
Rb2 Rb 0.225 0.500 0.416
Ga1 Ga 0.000 0.247 0.469
Ga2 Ga 0.226 0.302 0.953
Ga3 Ga 0.285 0.000 0.497
Ga4 Ga 0.420 0.000 0.946
Ir1 Ir 0.168 0.000 0.685
Ir2 Ir 0.346 0.000 0.220
```



Compound: Rb2GaIr
Source: Alexandria via LeMat-Bulk
Functional: PBE
Structure: relaxed

Calculated density (g cm⁻³): 6.7
Formation enthalpy at 0 K (meV per atom): 954

Cell and atoms, written as CIF:
```
data_Rb2GaIr
_chemical_formula_sum 'Rb8 Ga4 Ir4'
_space_group_name_H-M_alt 'I -4 2 d'
_space_group_IT_number 122
_space_group_name_Hall 'I -4 2bw'
_cell_length_a 4.251
_cell_length_b 4.251
_cell_length_c 23.645
_cell_angle_alpha 90.00
_cell_angle_beta 90.00
_cell_angle_gamma 90.00
loop_
_atom_site_label
_atom_site_type_symbol
_atom_site_fract_x
_atom_site_fract_y
_atom_site_fract_z
Rb1 Rb 0.247 0.250 0.125
Ga1 Ga 0.000 0.000 0.500
Ir1 Ir 0.000 0.000 0.000
```



Compound: Rb2Ga2Ir
Source: Alexandria via LeMat-Bulk
Functional: PBE
Structure: relaxed

Calculated density (g cm⁻³): 6.4
Formation enthalpy at 0 K (meV per atom): 988

Cell and atoms, written as CIF:
```
data_Rb2Ga2Ir
_chemical_formula_sum 'Rb4 Ga4 Ir2'
_space_group_name_H-M_alt 'I 4/m m m'
_space_group_IT_number 139
_space_group_name_Hall '-I 4 2'
_cell_length_a 4.122
_cell_length_b 4.122
_cell_length_c 15.285
_cell_angle_alpha 90.00
_cell_angle_beta 90.00
_cell_angle_gamma 90.00
loop_
_atom_site_label
_atom_site_type_symbol
_atom_site_fract_x
_atom_site_fract_y
_atom_site_fract_z
Rb1 Rb 0.000 0.500 0.250
Ga1 Ga 0.000 0.000 0.079
Ir1 Ir 0.000 0.000 0.500
```



Compound: RbGaIr
Source: Alexandria via LeMat-Bulk
Functional: PBE
Structure: relaxed

Calculated density (g cm⁻³): 5.5
Formation enthalpy at 0 K (meV per atom): -91

Cell and atoms, written as CIF:
```
data_RbGaIr
_chemical_formula_sum 'Rb2 Ga2 Ir2'
_space_group_name_H-M_alt 'P 4/n m m'
_space_group_IT_number 129
_cell_length_a 4.490
_cell_length_b 4.490
_cell_length_c 10.423
_cell_angle_alpha 90.00
_cell_angle_beta 90.00
_cell_angle_gamma 90.00
loop_
_space_group_symop_operation_xyz
'x,y,z'
'-x,-y,-z'
'-y+1/2,x,z'
'y+1/2,-x,-z'
'-x+1/2,-y+1/2,z'
'x+1/2,y+1/2,-z'
'y,-x+1/2,z'
'-y,x+1/2,-z'
'x+1/2,-y,-z'
'-x+1/2,y,z'
'-y,-x,-z'
'y,x,z'
'-x,y+1/2,-z'
'x,-y+1/2,z'
'y+1/2,x+1/2,-z'
'-y+1/2,-x+1/2,z'
loop_
_atom_site_label
_atom_site_type_symbol
_atom_site_fract_x
_atom_site_fract_y
_atom_site_fract_z
Rb1 Rb 0.250 0.250 0.224
Ga1 Ga 0.250 0.250 0.596
Ir1 Ir 0.250 0.750 0.500
```



Compound: RbGa4Ir
Source: Alexandria via LeMat-Bulk
Functional: PBE
Structure: relaxed

Calculated density (g cm⁻³): 6.2
Formation enthalpy at 0 K (meV per atom): -202

Cell and atoms, written as CIF:
```
data_RbGa4Ir
_chemical_formula_sum 'Rb4 Ga16 Ir4'
_space_group_name_H-M_alt 'C 1 2/m 1'
_space_group_IT_number 12
_cell_length_a 17.782
_cell_length_b 6.232
_cell_length_c 5.684
_cell_angle_alpha 90.00
_cell_angle_beta 107.74
_cell_angle_gamma 90.00
loop_
_space_group_symop_operation_xyz
'x,y,z'
'-x,-y,-z'
'-x,y,-z'
'x,-y,z'
'x+1/2,y+1/2,z'
'-x+1/2,-y+1/2,-z'
'-x+1/2,y+1/2,-z'
'x+1/2,-y+1/2,z'
loop_
_atom_site_label
_atom_site_type_symbol
_atom_site_fract_x
_atom_site_fract_y
_atom_site_fract_z
Rb1 Rb 0.215 0.000 0.264
Ga1 Ga 0.000 0.191 0.000
Ga2 Ga 0.085 0.237 0.641
Ga3 Ga 0.127 0.500 0.037
Ir1 Ir 0.033 0.500 0.291
```



Compound: RbGaIr2
Source: Alexandria via LeMat-Bulk
Functional: PBE
Structure: relaxed

Calculated density (g cm⁻³): 8.3
Formation enthalpy at 0 K (meV per atom): 449

Cell and atoms, written as CIF:
```
data_RbGaIr2
_chemical_formula_sum 'Rb4 Ga4 Ir8'
_space_group_name_H-M_alt 'I 41/a m d'
_space_group_IT_number 141
_cell_length_a 4.978
_cell_length_b 4.978
_cell_length_c 17.363
_cell_angle_alpha 90.00
_cell_angle_beta 90.00
_cell_angle_gamma 90.00
loop_
_space_group_symop_operation_xyz
'x,y,z'
'-x,-y,-z'
'-y+1/4,x+3/4,z+1/4'
'y+1/4,-x+3/4,-z+1/4'
'-x+1/2,-y,z+1/2'
'x+1/2,y,-z+1/2'
'y+1/4,-x+1/4,z+3/4'
'-y+1/4,x+1/4,-z+3/4'
'x,-y,-z'
'-x,y,z'
'-y+1/4,-x+1/4,-z+3/4'
'y+1/4,x+1/4,z+3/4'
'-x+1/2,y,-z+1/2'
'x+1/2,-y,z+1/2'
'y+1/4,x+3/4,-z+1/4'
'-y+1/4,-x+3/4,z+1/4'
'x+1/2,y+1/2,z+1/2'
'-x+1/2,-y+1/2,-z+1/2'
'-y+3/4,x+1/4,z+3/4'
'y+3/4,-x+1/4,-z+3/4'
'-x,-y+1/2,z'
'x,y+1/2,-z'
'y+3/4,-x+3/4,z+1/4'
'-y+3/4,x+3/4,-z+1/4'
'x+1/2,-y+1/2,-z+1/2'
'-x+1/2,y+1/2,z+1/2'
'-y+3/4,-x+3/4,-z+1/4'
'y+3/4,x+3/4,z+1/4'
'-x,y+1/2,-z'
'x,-y+1/2,z'
'y+3/4,x+1/4,-z+3/4'
'-y+3/4,-x+1/4,z+3/4'
loop_
_atom_site_label
_atom_site_type_symbol
_atom_site_fract_x
_atom_site_fract_y
_atom_site_fract_z
Rb1 Rb 0.000 0.250 0.375
Ga1 Ga 0.000 0.250 0.875
Ir1 Ir 0.000 0.000 0.000
```



Compound: RbGa3Ir
Source: Alexandria via LeMat-Bulk
Functional: PBE
Structure: relaxed

Calculated density (g cm⁻³): 4.8
Formation enthalpy at 0 K (meV per atom): 2054

Cell and atoms, written as CIF:
```
data_RbGa3Ir
_chemical_formula_sum 'Rb1 Ga3 Ir1'
_space_group_name_H-M_alt 'P m -3 m'
_space_group_IT_number 221
_space_group_name_Hall '-P 4 2 3'
_cell_length_a 5.508
_cell_length_b 5.508
_cell_length_c 5.508
_cell_angle_alpha 90.00
_cell_angle_beta 90.00
_cell_angle_gamma 90.00
loop_
_atom_site_label
_atom_site_type_symbol
_atom_site_fract_x
_atom_site_fract_y
_atom_site_fract_z
Rb1 Rb 0.000 0.000 0.000
Ga1 Ga 0.000 0.000 0.500
Ir1 Ir 0.500 0.500 0.500
```



> Look up the calculated density of the third one.

6.7 g cm⁻³



> What is the calculated density in the seventh record?

8.3 g cm⁻³



> formation enthalpy at 0 K of number 2 (RbGa3Ir)?

-247 meV per atom



> What is the formation enthalpy at 0 K in the eighth record?

2054 meV per atom